(1)
HoScOsAu | PBE-GGA | optimized geometry

Unit cell a=4.8009 b=4.8009 c=4.8009 alpha=60.00 beta=60.00 gamma=60.00
Element x y z (fractional)
Ho (0.0000, 0.0000, 0.0000)
Sc (0.5000, 0.5000, 0.5000)
Os (0.7500, 0.7500, 0.7500)
Au (0.2500, 0.2500, 0.2500)

* energy of formation from the pure elements: -0.514 eV per atom
* final energy: -6.8684 eV/atom
* space-group type: No. 216
* calculated volume: 19.56 Å³ per atom
* DOS(E_F): 1.8 states/eV per cell

---

(2)
TbHoOsAu | PBE-GGA | optimized geometry

Unit cell a=4.9430 b=4.9430 c=4.9430 alpha=60.00 beta=60.00 gamma=60.00
Element x y z (fractional)
Tb (0.0000, 0.0000, 0.0000)
Ho (0.5000, 0.5000, 0.5000)
Os (0.2500, 0.2500, 0.2500)
Au (0.7500, 0.7500, 0.7500)

* energy of formation from the pure elements: -0.480 eV per atom
* final energy: -6.4085 eV/atom
* space-group type: No. 216
* calculated volume: 21.35 Å³ per atom
* DOS(E_F): 1.8 states/eV per cell

---

(3)
HoThOsAu | PBE-GGA | optimized geometry

Unit cell a=5.0511 b=5.0511 c=5.0511 alpha=60.00 beta=60.00 gamma=60.00
Element x y z (fractional)
Ho (0.0000, 0.0000, 0.0000)
Th (0.5000, 0.5000, 0.5000)
Os (0.2500, 0.2500, 0.2500)
Au (0.7500, 0.7500, 0.7500)

* energy of formation from the pure elements: -0.427 eV per atom
* final energy: -7.0533 eV/atom
* space-group type: No. 216
* calculated volume: 22.78 Å³ per atom
* DOS(E_F): 2.3 states/eV per cell

---

(4)
YHoOsAu | PBE-GGA | optimized geometry

Unit cell a=4.9384 b=4.9384 c=4.9384 alpha=60.00 beta=60.00 gamma=60.00
Element x y z (fractional)
Y (0.0000, 0.0000, 0.0000)
Ho (0.5000, 0.5000, 0.5000)
Os (0.7500, 0.7500, 0.7500)
Au (0.2500, 0.2500, 0.2500)

* energy of formation from the pure elements: -0.480 eV per atom
* final energy: -6.8676 eV/atom
* space-group type: No. 216
* calculated volume: 21.29 Å³ per atom
* DOS(E_F): 1.8 states/eV per cell

---

(5)
Ho2PAu | PBE-GGA | optimized geometry

Unit cell a=7.3754 b=7.3754 c=7.3754 alpha=31.25 beta=31.25 gamma=31.25
Element x y z (fractional)
Ho (0.2423, 0.2423, 0.2423)
Ho (0.7577, 0.7577, 0.7577)
P (0.5000, 0.5000, 0.5000)
Au (0.0000, 0.0000, 0.0000)

* energy of formation from the pure elements: -1.121 eV per atom
* final energy: -5.5813 eV/atom
* space-group type: No. 166
* calculated volume: 23.96 Å³ per atom
* DOS(E_F): 3.3 states/eV per cell

---

(6)
Ho3P2Rh9Au | PBE-GGA | optimized geometry

Unit cell a=6.0248 b=6.0248 c=9.3328 alpha=90.00 beta=90.00 gamma=120.00
Element x y z (fractional)
Ho (0.0000, 0.0000, 0.0000)
Ho (0.3333, 0.6667, 0.7232)
Ho (0.6667, 0.3333, 0.2768)
P (0.3333, 0.6667, 0.1605)
P (0.6667, 0.3333, 0.8395)
Rh (0.0000, 0.5000, 0.0000)
Rh (0.1481, 0.2962, 0.2636)
Rh (0.1481, 0.8519, 0.2636)
Rh (0.2962, 0.1481, 0.7364)
Rh (0.5000, 0.0000, 0.0000)
Rh (0.5000, 0.5000, 0.0000)
Rh (0.7038, 0.8519, 0.2636)
Rh (0.8519, 0.1481, 0.7364)
Rh (0.8519, 0.7038, 0.7364)
Au (0.0000, 0.0000, 0.5000)

* energy of formation from the pure elements: -0.538 eV per atom
* final energy: -6.8045 eV/atom
* space-group type: No. 164
* calculated volume: 19.56 Å³ per atom
* DOS(E_F): 14.5 states/eV per cell

---

(7)
Ho6P2AuSe3 | PBE-GGA | optimized geometry

Unit cell a=9.0944 b=9.0944 c=8.2108 alpha=103.06 beta=103.06 gamma=25.46
Element x y z (fractional)
Ho (0.0056, 0.0056, 0.2527)
Ho (0.3277, 0.3277, 0.4270)
Ho (0.3316, 0.3316, 0.8998)
Ho (0.6684, 0.6684, 0.1002)
Ho (0.6723, 0.6723, 0.5730)
Ho (0.9944, 0.9944, 0.7473)
P (0.1676, 0.1676, 0.3366)
P (0.8324, 0.8324, 0.6634)
Au (0.5000, 0.5000, 0.0000)
Se (0.1669, 0.1669, 0.8326)
Se (0.5000, 0.5000, 0.5000)
Se (0.8331, 0.8331, 0.1674)

* final energy: -5.9152 eV/atom
* uncorrected formation energy: -1.580 eV per atom
* space-group type: No. 12
* calculated volume: 23.66 Å³ per atom
* DOS(E_F): 4.5 states/eV per cell

---

(8)
Ho4PAuSe2 | PBE-GGA | optimized geometry

Unit cell a=7.0759 b=4.0015 c=7.1300 alpha=90.00 beta=108.49 gamma=90.00
Element x y z (fractional)
Ho (0.2361, 0.0000, 0.2355)
Ho (0.2434, 0.5000, 0.7568)
Ho (0.7566, 0.5000, 0.2432)
Ho (0.7639, 0.0000, 0.7645)
P (0.0000, 0.5000, 0.0000)
Au (0.0000, 0.0000, 0.5000)
Se (0.5000, 0.0000, 0.0000)
Se (0.5000, 0.5000, 0.5000)

* final energy: -5.7196 eV/atom
* uncorrected formation energy: -1.474 eV per atom
* space-group type: No. 10
* calculated volume: 23.93 Å³ per atom
* DOS(E_F): 4.0 states/eV per cell

---

What is the DOS(E_F) in the second record? 1.8 states/eV per cell

---

Among the records above, which one has the highest calculated volume? Ho2PAu

---

Number 4 is which compound? YHoOsAu